# 1
This record from the Alexandria database describes a relaxed K2YHg crystal. The functional is PBE.

Values from the calculation:
Density of states at the Fermi level in states/eV per cell: 9.1
Energy of formation from the pure elements in eV/atom: 0.298

Structure (CIF):
```
data_K2YHg
_symmetry_space_group_name_H-M 'C m m m'
_symmetry_Int_Tables_number 65
_symmetry_space_group_name_Hall '-C 2 2'
_cell_length_a 6.9230
_cell_length_b 12.3592
_cell_length_c 3.7322
_cell_angle_alpha 90.00
_cell_angle_beta 90.00
_cell_angle_gamma 90.00
loop_
_atom_site_label
_atom_site_type_symbol
_atom_site_fract_x
_atom_site_fract_y
_atom_site_fract_z
K1 K 0.2500 0.2500 0.0000
Y1 Y 0.0000 0.0000 0.5000
Hg1 Hg 0.0000 0.5000 0.5000
```

---

# 2
This record from the Alexandria database describes a relaxed YHg2Rh crystal. The functional is PBE.

Values from the calculation:
Density of states at the Fermi level in states/eV per cell: 2.8
Energy of formation from the pure elements in eV/atom: -0.296

Structure (CIF):
```
data_YHg2Rh
_symmetry_space_group_name_H-M 'P m m m'
_symmetry_Int_Tables_number 47
_cell_length_a 4.0713
_cell_length_b 4.2961
_cell_length_c 4.8431
_cell_angle_alpha 90.00
_cell_angle_beta 90.00
_cell_angle_gamma 90.00
loop_
_symmetry_equiv_pos_as_xyz
'x,y,z'
'-x,-y,-z'
'-x,-y,z'
'x,y,-z'
'x,-y,-z'
'-x,y,z'
'-x,y,-z'
'x,-y,z'
loop_
_atom_site_label
_atom_site_type_symbol
_atom_site_fract_x
_atom_site_fract_y
_atom_site_fract_z
Y1 Y 0.0000 0.0000 0.0000
Hg1 Hg 0.0000 0.5000 0.5000
Hg2 Hg 0.5000 0.0000 0.5000
Rh1 Rh 0.5000 0.5000 0.0000
```

---

# 3
This record from the Alexandria database describes a relaxed Rb2ScHgF6 crystal. The functional is PBE.

Values from the calculation:
Density of states at the Fermi level in states/eV per cell: 3.4
Energy relative to the elements, uncorrected in kJ per mole of atoms: -275.73

Structure (CIF):
```
data_Rb2ScHgF6
_symmetry_space_group_name_H-M 'P m m n'
_symmetry_Int_Tables_number 59
_cell_length_a 6.4521
_cell_length_b 9.2100
_cell_length_c 6.6414
_cell_angle_alpha 90.00
_cell_angle_beta 90.00
_cell_angle_gamma 90.00
loop_
_symmetry_equiv_pos_as_xyz
'x,y,z'
'-x,-y,-z'
'-x+1/2,-y+1/2,z'
'x+1/2,y+1/2,-z'
'x+1/2,-y,-z'
'-x+1/2,y,z'
'-x,y+1/2,-z'
'x,-y+1/2,z'
loop_
_atom_site_label
_atom_site_type_symbol
_atom_site_fract_x
_atom_site_fract_y
_atom_site_fract_z
Rb1 Rb 0.2500 0.0070 0.2324
Sc1 Sc 0.2500 0.7500 0.7683
Hg1 Hg 0.2500 0.2500 0.7300
F1 F 0.0235 0.7500 0.5569
F2 F 0.0280 0.7500 0.9876
F3 F 0.2500 0.5292 0.7785
```

---

# 4
This record from the Alexandria database describes a relaxed La7Nd12Dy crystal. The functional is PBE.

Values from the calculation:
Density of states at the Fermi level in states/eV per cell: 66.6
Excess energy over the best structure of this formula in the dataset in meV/atom: 381
Energy of formation from the pure elements in eV/atom: 0.562

Structure (CIF):
```
data_La7Nd12Dy
_symmetry_space_group_name_H-M 'I m -3'
_symmetry_Int_Tables_number 204
_symmetry_space_group_name_Hall '-I 2 2 3'
_cell_length_a 11.5044
_cell_length_b 11.5044
_cell_length_c 11.5044
_cell_angle_alpha 90.00
_cell_angle_beta 90.00
_cell_angle_gamma 90.00
loop_
_atom_site_label
_atom_site_type_symbol
_atom_site_fract_x
_atom_site_fract_y
_atom_site_fract_z
La1 La 0.0000 0.0000 0.5000
La2 La 0.2500 0.2500 0.2500
Nd1 Nd 0.0000 0.2131 0.2744
Dy1 Dy 0.0000 0.0000 0.0000
```

---

Copy entry 4 word for word.
This record from the Alexandria database describes a relaxed La7Nd12Dy crystal. The functional is PBE.

Values from the calculation:
Density of states at the Fermi level in states/eV per cell: 66.6
Excess energy over the best structure of this formula in the dataset in meV/atom: 381
Energy of formation from the pure elements in eV/atom: 0.562

Structure (CIF):
```
data_La7Nd12Dy
_symmetry_space_group_name_H-M 'I m -3'
_symmetry_Int_Tables_number 204
_symmetry_space_group_name_Hall '-I 2 2 3'
_cell_length_a 11.5044
_cell_length_b 11.5044
_cell_length_c 11.5044
_cell_angle_alpha 90.00
_cell_angle_beta 90.00
_cell_angle_gamma 90.00
loop_
_atom_site_label
_atom_site_type_symbol
_atom_site_fract_x
_atom_site_fract_y
_atom_site_fract_z
La1 La 0.0000 0.0000 0.5000
La2 La 0.2500 0.2500 0.2500
Nd1 Nd 0.0000 0.2131 0.2744
Dy1 Dy 0.0000 0.0000 0.0000
```